VASP calculation (GGA-PBE) on a relaxed structure of KYI2N.

Computed properties:
Total energy, eV for the cell shown: -22.97
M_tot, μB/f.u.: 0.00
Energy above the lowest structure with this stoichiometry, eV/atom: 0.000
Uncorrected formation energy, eV/atom: -0.796

abc: 6.339 6.339 4.200
angles: 90.00 90.00 90.00
Element x y z (fractional)
K (0.000, 0.000, 0.000)
Y (0.500, 0.500, 0.500)
I (0.000, 0.500, 0.500)
I (0.500, 0.000, 0.500)
N (0.500, 0.500, 0.000)

---

VASP calculation (GGA-PBE) on a relaxed structure of KZnI2N.

Computed properties:
Total energy, eV for the cell shown: -14.08
M_tot, μB/f.u.: 2.01
Energy above the lowest structure with this stoichiometry, eV/atom: 0.000
Uncorrected formation energy, eV/atom: -0.056

abc: 6.090 6.090 3.979
angles: 90.00 90.00 90.00
Element x y z (fractional)
K (0.000, 0.000, 0.000)
Zn (0.500, 0.500, 0.500)
I (0.000, 0.500, 0.500)
I (0.500, 0.000, 0.500)
N (0.500, 0.500, 0.000)

---

VASP calculation (GGA-PBE) on a relaxed structure of KZnI2N.

Computed properties:
Total energy, eV for the cell shown: -9.56
M_tot, μB/f.u.: 3.50
Energy above the lowest structure with this stoichiometry, eV/atom: 0.903
Uncorrected formation energy, eV/atom: 0.847

abc: 6.614 6.614 5.372
angles: 90.00 90.00 90.00
Element x y z (fractional)
K (0.000, 0.000, 0.000)
Zn (0.500, 0.500, 0.500)
I (0.000, 0.500, 0.000)
I (0.500, 0.000, 0.000)
N (0.000, 0.000, 0.500)

---

VASP calculation (GGA-PBE) on a relaxed structure of KZrI2N.

Computed properties:
Total energy, eV for the cell shown: -14.33
M_tot, μB/f.u.: 0.00
Energy above the lowest structure with this stoichiometry, eV/atom: 2.105
Uncorrected formation energy, eV/atom: 1.347

abc: 5.961 5.961 4.224
angles: 90.00 90.00 90.00
Element x y z (fractional)
K (0.000, 0.000, 0.000)
Zr (0.500, 0.500, 0.500)
I (0.000, 0.500, 0.000)
I (0.500, 0.000, 0.000)
N (0.000, 0.000, 0.500)

---

VASP calculation (GGA-PBE) on a relaxed structure of KZrI2N.

Computed properties:
Total energy, eV for the cell shown: -24.86
M_tot, μB/f.u.: 0.00
Energy above the lowest structure with this stoichiometry, eV/atom: 0.000
Uncorrected formation energy, eV/atom: -0.757

abc: 6.104 6.104 4.099
angles: 90.00 90.00 90.00
Element x y z (fractional)
K (0.000, 0.000, 0.000)
Zr (0.500, 0.500, 0.500)
I (0.000, 0.500, 0.500)
I (0.500, 0.000, 0.500)
N (0.500, 0.500, 0.000)

---

VASP calculation (GGA-PBE) on a relaxed structure of K5Na3I12.

Computed properties:
Total energy, eV for the cell shown: -184.03
M_tot, μB/f.u.: 4.21
Uncorrected formation energy, eV/atom: -0.898

abc: 17.520 17.520 17.520
angles: 109.47 109.47 109.47
Element x y z (fractional)
K (0.000, 0.000, 0.000)
K (0.000, 0.000, 0.500)
K (0.000, 0.500, 0.000)
K (0.000, 0.500, 0.500)
K (0.125, 0.750, 0.875)
K (0.125, 0.875, 0.250)
K (0.250, 0.125, 0.875)
K (0.250, 0.625, 0.375)
K (0.375, 0.250, 0.625)
K (0.375, 0.625, 0.750)
K (0.500, 0.000, 0.000)
K (0.500, 0.000, 0.500)
K (0.500, 0.500, 0.000)
K (0.500, 0.500, 0.500)
K (0.625, 0.375, 0.250)
K (0.625, 0.750, 0.375)
K (0.750, 0.375, 0.625)
K (0.750, 0.875, 0.125)
K (0.875, 0.125, 0.750)
K (0.875, 0.250, 0.125)
Na (0.125, 0.250, 0.375)
Na (0.125, 0.375, 0.750)
Na (0.250, 0.375, 0.125)
Na (0.250, 0.875, 0.625)
Na (0.375, 0.125, 0.250)
Na (0.375, 0.750, 0.125)
Na (0.625, 0.250, 0.875)
Na (0.625, 0.875, 0.750)
Na (0.750, 0.125, 0.375)
Na (0.750, 0.625, 0.875)
Na (0.875, 0.625, 0.250)
Na (0.875, 0.750, 0.625)
I (0.048, 0.614, 0.372)
I (0.048, 0.934, 0.676)
I (0.066, 0.242, 0.114)
I (0.066, 0.324, 0.952)
I (0.114, 0.066, 0.242)
I (0.114, 0.548, 0.872)
I (0.128, 0.742, 0.676)
I (0.128, 0.886, 0.452)
I (0.176, 0.242, 0.628)
I (0.176, 0.434, 0.548)
I (0.242, 0.114, 0.066)
I (0.242, 0.628, 0.176)
I (0.258, 0.324, 0.872)
I (0.258, 0.434, 0.386)
I (0.324, 0.872, 0.258)
I (0.324, 0.952, 0.066)
I (0.372, 0.048, 0.614)
I (0.372, 0.824, 0.758)
I (0.386, 0.258, 0.434)
I (0.386, 0.628, 0.952)
I (0.434, 0.386, 0.258)
I (0.434, 0.548, 0.176)
I (0.452, 0.128, 0.886)
I (0.452, 0.824, 0.566)
I (0.548, 0.176, 0.434)
I (0.548, 0.872, 0.114)
I (0.566, 0.452, 0.824)
I (0.566, 0.614, 0.742)
I (0.614, 0.372, 0.048)
I (0.614, 0.742, 0.566)
I (0.628, 0.176, 0.242)
I (0.628, 0.952, 0.386)
I (0.676, 0.048, 0.934)
I (0.676, 0.128, 0.742)
I (0.742, 0.566, 0.614)
I (0.742, 0.676, 0.128)
I (0.758, 0.372, 0.824)
I (0.758, 0.886, 0.934)
I (0.824, 0.566, 0.452)
I (0.824, 0.758, 0.372)
I (0.872, 0.114, 0.548)
I (0.872, 0.258, 0.324)
I (0.886, 0.452, 0.128)
I (0.886, 0.934, 0.758)
I (0.934, 0.676, 0.048)
I (0.934, 0.758, 0.886)
I (0.952, 0.066, 0.324)
I (0.952, 0.386, 0.628)

---

VASP calculation (GGA-PBE) on a relaxed structure of K6NaI8.

Computed properties:
Total energy, eV for the cell shown: -39.01
M_tot, μB/f.u.: 0.00
Uncorrected formation energy, eV/atom: -1.247

abc: 10.510 10.510 7.010
angles: 90.00 90.00 120.00
Element x y z (fractional)
K (0.000, 0.375, 0.234)
K (0.000, 0.625, 0.766)
K (0.375, 0.000, 0.234)
K (0.375, 0.375, 0.766)
K (0.625, 0.000, 0.766)
K (0.625, 0.625, 0.234)
Na (0.000, 0.000, 0.000)
I (0.000, 0.273, 0.737)
I (0.000, 0.727, 0.263)
I (0.273, 0.000, 0.737)
I (0.273, 0.273, 0.263)
I (0.333, 0.667, 0.002)
I (0.667, 0.333, 0.998)
I (0.727, 0.000, 0.263)
I (0.727, 0.727, 0.737)

---

VASP calculation (GGA-PBE) on a relaxed structure of KNa2I.

Computed properties:
Total energy, eV for the cell shown: -28.80
M_tot, μB/f.u.: 0.00
Energy above the lowest structure with this stoichiometry, eV/atom: 0.035
Uncorrected formation energy, eV/atom: -0.479

abc: 10.668 10.668 6.930
angles: 90.00 90.00 90.00
Element x y z (fractional)
K (0.000, 0.000, 0.000)
K (0.000, 0.500, 0.250)
K (0.500, 0.000, 0.750)
K (0.500, 0.500, 0.500)
Na (0.171, 0.750, 0.625)
Na (0.250, 0.171, 0.375)
Na (0.250, 0.329, 0.875)
Na (0.329, 0.750, 0.125)
Na (0.671, 0.250, 0.125)
Na (0.750, 0.671, 0.875)
Na (0.750, 0.829, 0.375)
Na (0.829, 0.250, 0.625)
I (0.000, 0.000, 0.500)
I (0.000, 0.500, 0.750)
I (0.500, 0.000, 0.250)
I (0.500, 0.500, 0.000)

---

VASP calculation (GGA-PBE) on a relaxed structure of KNa2I.

Computed properties:
Total energy, eV for the cell shown: -26.10
M_tot, μB/f.u.: 0.00
Energy above the lowest structure with this stoichiometry, eV/atom: 0.204
Uncorrected formation energy, eV/atom: -0.310

abc: 8.828 8.828 8.828
angles: 90.00 90.00 90.00
Element x y z (fractional)
K (0.000, 0.000, 0.000)
K (0.000, 0.500, 0.500)
K (0.500, 0.000, 0.500)
K (0.500, 0.500, 0.000)
Na (0.250, 0.250, 0.250)
Na (0.250, 0.250, 0.750)
Na (0.250, 0.750, 0.250)
Na (0.250, 0.750, 0.750)
Na (0.750, 0.250, 0.250)
Na (0.750, 0.250, 0.750)
Na (0.750, 0.750, 0.250)
Na (0.750, 0.750, 0.750)
I (0.000, 0.000, 0.500)
I (0.000, 0.500, 0.000)
I (0.500, 0.000, 0.000)
I (0.500, 0.500, 0.500)

---

VASP calculation (GGA-PBE) on a relaxed structure of KNa2I2.

Computed properties:
Total energy, eV for the cell shown: -22.52
M_tot, μB/f.u.: 0.79
Energy above the lowest structure with this stoichiometry, eV/atom: 0.000
Uncorrected formation energy, eV/atom: -0.885

abc: 6.015 6.015 11.891
angles: 90.00 90.00 90.00
Element x y z (fractional)
K (0.000, 0.000, 0.000)
K (0.500, 0.500, 0.500)
Na (0.000, 0.000, 0.348)
Na (0.000, 0.000, 0.652)
Na (0.500, 0.500, 0.152)
Na (0.500, 0.500, 0.848)
I (0.000, 0.500, 0.250)
I (0.000, 0.500, 0.750)
I (0.500, 0.000, 0.250)
I (0.500, 0.000, 0.750)

---

VASP calculation (GGA-PBE) on a relaxed structure of KNa3I3.

Computed properties:
Total energy, eV for the cell shown: -32.77
M_tot, μB/f.u.: 0.05
Uncorrected formation energy, eV/atom: -0.954

abc: 8.873 8.873 8.873
angles: 90.00 90.00 90.00
Element x y z (fractional)
K (0.000, 0.000, 0.000)
K (0.500, 0.500, 0.500)
Na (0.000, 0.250, 0.500)
Na (0.000, 0.750, 0.500)
Na (0.250, 0.500, 0.000)
Na (0.500, 0.000, 0.250)
Na (0.500, 0.000, 0.750)
Na (0.750, 0.500, 0.000)
I (0.000, 0.500, 0.250)
I (0.000, 0.500, 0.750)
I (0.250, 0.000, 0.500)
I (0.500, 0.250, 0.000)
I (0.500, 0.750, 0.000)
I (0.750, 0.000, 0.500)

---

VASP calculation (GGA-PBE) on a relaxed structure of KNa2I.

Computed properties:
Total energy, eV for the cell shown: -22.02
M_tot, μB/f.u.: 0.00
Energy above the lowest structure with this stoichiometry, eV/atom: 0.000
Uncorrected formation energy, eV/atom: -0.514

abc: 4.467 4.467 33.250
angles: 90.00 90.00 120.00
Element x y z (fractional)
K (0.000, 0.000, 0.000)
K (0.333, 0.667, 0.667)
K (0.667, 0.333, 0.333)
Na (0.000, 0.000, 0.559)
Na (0.000, 0.000, 0.773)
Na (0.333, 0.667, 0.226)
Na (0.333, 0.667, 0.440)
Na (0.667, 0.333, 0.107)
Na (0.667, 0.333, 0.892)
I (0.000, 0.000, 0.166)
I (0.333, 0.667, 0.833)
I (0.667, 0.333, 0.499)

---

VASP calculation (GGA-PBE) on a relaxed structure of KNa2I.

Computed properties:
Total energy, eV for the cell shown: -21.61
M_tot, μB/f.u.: 0.00
Energy above the lowest structure with this stoichiometry, eV/atom: 0.035
Uncorrected formation energy, eV/atom: -0.479

abc: 4.406 4.406 35.461
angles: 90.00 90.00 120.00
Element x y z (fractional)
K (0.000, 0.000, 0.000)
K (0.333, 0.667, 0.667)
K (0.667, 0.333, 0.333)
Na (0.000, 0.000, 0.110)
Na (0.000, 0.000, 0.890)
Na (0.333, 0.667, 0.556)
Na (0.333, 0.667, 0.777)
Na (0.667, 0.333, 0.223)
Na (0.667, 0.333, 0.444)
I (0.000, 0.000, 0.500)
I (0.333, 0.667, 0.167)
I (0.667, 0.333, 0.833)

---

VASP calculation (GGA-PBE) on a relaxed structure of KNa5I6.

Computed properties:
Total energy, eV for the cell shown: -32.44
M_tot, μB/f.u.: 0.00
Uncorrected formation energy, eV/atom: -1.287

abc: 8.136 8.136 8.124
angles: 99.64 99.64 120.04
Element x y z (fractional)
K (0.000, 0.000, 0.000)
Na (0.164, 0.836, 0.500)
Na (0.332, 0.668, 0.000)
Na (0.500, 0.500, 0.500)
Na (0.668, 0.332, 0.000)
Na (0.836, 0.164, 0.500)
I (0.086, 0.435, 0.256)
I (0.261, 0.261, 0.739)
I (0.435, 0.086, 0.256)
I (0.565, 0.914, 0.744)
I (0.739, 0.739, 0.261)
I (0.914, 0.565, 0.744)

---

VASP calculation (GGA-PBE) on a relaxed structure of KNaI.

Computed properties:
Total energy, eV for the cell shown: -12.56
M_tot, μB/f.u.: 0.00
Energy above the lowest structure with this stoichiometry, eV/atom: 0.000
Uncorrected formation energy, eV/atom: -0.771

abc: 4.195 4.195 15.122
angles: 90.00 90.00 90.00
Element x y z (fractional)
K (0.000, 0.000, 0.000)
K (0.500, 0.500, 0.500)
Na (0.000, 0.000, 0.268)
Na (0.500, 0.500, 0.768)
I (0.000, 0.000, 0.645)
I (0.500, 0.500, 0.145)

---

VASP calculation (GGA-PBE) on a relaxed structure of KNaI2.

Computed properties:
Total energy, eV for the cell shown: -32.89
M_tot, μB/f.u.: 0.00
Energy above the lowest structure with this stoichiometry, eV/atom: 0.000
Uncorrected formation energy, eV/atom: -1.361

abc: 4.809 4.809 23.962
angles: 90.00 90.00 120.00
Element x y z (fractional)
K (0.000, 0.000, 0.000)
K (0.333, 0.667, 0.667)
K (0.667, 0.333, 0.333)
Na (0.000, 0.000, 0.500)
Na (0.333, 0.667, 0.167)
Na (0.667, 0.333, 0.833)
I (0.000, 0.000, 0.242)
I (0.000, 0.000, 0.758)
I (0.333, 0.667, 0.425)
I (0.333, 0.667, 0.908)
I (0.667, 0.333, 0.092)
I (0.667, 0.333, 0.575)

---

VASP calculation (GGA-PBE) on a relaxed structure of K4NaI5.

Computed properties:
Total energy, eV for the cell shown: -27.78
M_tot, μB/f.u.: 0.00
Uncorrected formation energy, eV/atom: -1.432

abc: 20.554 20.554 20.554
angles: 13.88 13.88 13.88
Element x y z (fractional)
K (0.103, 0.103, 0.103)
K (0.299, 0.299, 0.299)
K (0.701, 0.701, 0.701)
K (0.897, 0.897, 0.897)
Na (0.500, 0.500, 0.500)
I (0.000, 0.000, 0.000)
I (0.195, 0.195, 0.195)
I (0.403, 0.403, 0.403)
I (0.597, 0.597, 0.597)
I (0.805, 0.805, 0.805)

---

VASP calculation (GGA-PBE) on a relaxed structure of KNa2I2.

Computed properties:
Total energy, eV for the cell shown: -22.35
M_tot, μB/f.u.: 0.00
Energy above the lowest structure with this stoichiometry, eV/atom: 0.017
Uncorrected formation energy, eV/atom: -0.868

abc: 5.386 5.386 16.048
angles: 90.00 90.00 90.00
Element x y z (fractional)
K (0.000, 0.000, 0.000)
K (0.500, 0.500, 0.500)
Na (0.000, 0.500, 0.250)
Na (0.000, 0.500, 0.750)
Na (0.500, 0.000, 0.250)
Na (0.500, 0.000, 0.750)
I (0.000, 0.000, 0.358)
I (0.000, 0.000, 0.642)
I (0.500, 0.500, 0.142)
I (0.500, 0.500, 0.858)

---

VASP calculation (GGA-PBE) on a relaxed structure of K2NaI2.

Computed properties:
Total energy, eV for the cell shown: -22.10
M_tot, μB/f.u.: 0.69
Energy above the lowest structure with this stoichiometry, eV/atom: 0.137
Uncorrected formation energy, eV/atom: -0.888

abc: 6.661 6.661 13.375
angles: 90.00 90.00 90.00
Element x y z (fractional)
K (0.000, 0.000, 0.183)
K (0.000, 0.000, 0.817)
K (0.500, 0.500, 0.317)
K (0.500, 0.500, 0.683)
Na (0.000, 0.000, 0.500)
Na (0.500, 0.500, 0.000)
I (0.000, 0.500, 0.250)
I (0.000, 0.500, 0.750)
I (0.500, 0.000, 0.250)
I (0.500, 0.000, 0.750)

---

VASP calculation (GGA-PBE) on a relaxed structure of K4Na2I.

Computed properties:
Total energy, eV for the cell shown: -21.30
M_tot, μB/f.u.: 0.00
Uncorrected formation energy, eV/atom: -0.296

abc: 6.833 6.833 19.343
angles: 90.00 90.00 90.00
Element x y z (fractional)
K (0.000, 0.000, 0.186)
K (0.000, 0.000, 0.814)
K (0.000, 0.500, 0.000)
K (0.000, 0.500, 0.500)
K (0.500, 0.000, 0.000)
K (0.500, 0.000, 0.500)
K (0.500, 0.500, 0.314)
K (0.500, 0.500, 0.686)
Na (0.000, 0.000, 0.385)
Na (0.000, 0.000, 0.615)
Na (0.500, 0.500, 0.115)
Na (0.500, 0.500, 0.885)
I (0.000, 0.000, 0.000)
I (0.500, 0.500, 0.500)

---

VASP calculation (GGA-PBE) on a relaxed structure of KNaI2.

Computed properties:
Total energy, eV for the cell shown: -32.67
M_tot, μB/f.u.: 0.00
Energy above the lowest structure with this stoichiometry, eV/atom: 0.018
Uncorrected formation energy, eV/atom: -1.343

abc: 4.736 4.736 24.783
angles: 90.00 90.00 120.00
Element x y z (fractional)
K (0.000, 0.000, 0.000)
K (0.333, 0.667, 0.667)
K (0.667, 0.333, 0.333)
Na (0.000, 0.000, 0.169)
Na (0.333, 0.667, 0.836)
Na (0.667, 0.333, 0.502)
I (0.000, 0.000, 0.575)
I (0.000, 0.000, 0.760)
I (0.333, 0.667, 0.242)
I (0.333, 0.667, 0.427)
I (0.667, 0.333, 0.093)
I (0.667, 0.333, 0.909)

---

VASP calculation (GGA-PBE) on a relaxed structure of KNaI2.

Computed properties:
Total energy, eV for the cell shown: -10.51
M_tot, μB/f.u.: 0.00
Energy above the lowest structure with this stoichiometry, eV/atom: 0.112
Uncorrected formation energy, eV/atom: -1.249

abc: 4.190 4.190 8.437
angles: 90.00 90.00 90.00
Element x y z (fractional)
K (0.000, 0.000, 0.000)
Na (0.000, 0.000, 0.500)
I (0.500, 0.500, 0.262)
I (0.500, 0.500, 0.738)

---

VASP calculation (GGA-PBE) on a relaxed structure of KNaI2.

Computed properties:
Total energy, eV for the cell shown: -41.98
M_tot, μB/f.u.: 0.00
Energy above the lowest structure with this stoichiometry, eV/atom: 0.117
Uncorrected formation energy, eV/atom: -1.244

abc: 8.409 8.409 8.409
angles: 90.00 90.00 90.00
Element x y z (fractional)
K (0.000, 0.000, 0.000)
K (0.000, 0.500, 0.500)
K (0.500, 0.000, 0.500)
K (0.500, 0.500, 0.000)
Na (0.000, 0.000, 0.500)
Na (0.000, 0.500, 0.000)
Na (0.500, 0.000, 0.000)
Na (0.500, 0.500, 0.500)
I (0.250, 0.250, 0.250)
I (0.250, 0.250, 0.750)
I (0.250, 0.750, 0.250)
I (0.250, 0.750, 0.750)
I (0.750, 0.250, 0.250)
I (0.750, 0.250, 0.750)
I (0.750, 0.750, 0.250)
I (0.750, 0.750, 0.750)